[1]
Mg8TlIn2: relaxed, PBE.

The structure belongs to space group C2/m (No. 12); the cell edges are 16.4590, 4.4617 and 7.2732 Å and the angles 90.00°, 106.76° and 90.00°. The asymmetric unit holds Mg at (0.0449, 0.0000, 0.2263), Mg at (0.0923, 0.5000, 0.9588), Mg at (0.1407, 0.0000, 0.6895), Mg at (0.1820, 0.5000, 0.4128), Tl at (0.0000, 0.5000, 0.5000) and In at (0.2228, 0.0000, 0.1458).

The density of states at the Fermi level is 0.3659 states/eV/atom. The crystal system is monoclinic. As for the total energy: -1.9259 eV/atom. As for the polymorph energy (0 for the lowest one): 0.00 kcal/mol of atoms.

[2]
Mg4Tl3In4: relaxed, PBE.

The structure belongs to space group P-1 (No. 2); the cell edges are 3.3487, 4.4310 and 19.0031 Å and the angles 96.17°, 94.44° and 90.38°. The asymmetric unit holds Mg at (0.0463, 0.0477, 0.0909), Mg at (0.3168, 0.3145, 0.6327), Tl at (0.1416, 0.1407, 0.2758), Tl at (0.5000, 0.5000, 0.0000), In at (0.2232, 0.2282, 0.4535) and In at (0.4112, 0.4079, 0.8227).

The density of states at the Fermi level is 0.4050 states/eV/atom. The crystal system is triclinic. As for the total energy: -2.2390 eV/atom. As for the polymorph energy (0 for the lowest one): 0.00 kcal/mol of atoms.

[3]
Mg2Tl2In: relaxed, PBE.

The structure belongs to space group I4/mmm (No. 139); the cell edges are 4.5625, 4.5625 and 13.5853 Å and the angles 90.00°, 90.00° and 90.00°. The asymmetric unit holds Mg at (0.0000, 0.5000, 0.2500), Tl at (0.0000, 0.0000, 0.1081) and In at (0.0000, 0.0000, 0.5000).

The density of states at the Fermi level is 0.4359 states/eV/atom. The crystal system is tetragonal. As for the total energy: -2.0083 eV/atom. As for the polymorph energy (0 for the lowest one): 3.35 kcal/mol of atoms.

[4]
MgTlIn: relaxed, PBE.

The structure belongs to space group P-1 (No. 2); the cell edges are 3.4195, 5.7351 and 8.6842 Å and the angles 77.42°, 82.43° and 74.62°. The asymmetric unit holds Mg at (0.1614, 0.2371, 0.4118), Tl at (0.2125, 0.7676, 0.9089) and In at (0.4617, 0.7223, 0.2879).

The density of states at the Fermi level is 0.4906 states/eV/atom. The crystal system is triclinic. As for the total energy: -2.2195 eV/atom.

[5]
Mg7Tl12In: relaxed, PBE.

The structure belongs to space group R-3 (No. 148, hexagonal axes); the cell edges are 13.7060, 13.7060 and 10.0483 Å and the angles 90.00°, 90.00° and 120.00°. The asymmetric unit holds Mg at (0.0000, 0.0000, 0.0000), Mg at (0.0653, 0.2472, 0.4258), Tl at (0.0424, 0.1912, 0.7422), Tl at (0.0464, 0.2477, 0.0788) and In at (0.0000, 0.0000, 0.5000).

The density of states at the Fermi level is 0.4239 states/eV/atom. The crystal system is trigonal. As for the total energy: -2.1075 eV/atom. As for the polymorph energy (0 for the lowest one): 0.00 kcal/mol of atoms.

[6]
Mg2TlIn2: relaxed, PBE.

The structure belongs to space group I4/mmm (No. 139); the cell edges are 4.2922, 4.2922 and 14.6754 Å and the angles 90.00°, 90.00° and 90.00°. The asymmetric unit holds Mg at (0.0000, 0.0000, 0.0999), Tl at (0.0000, 0.0000, 0.5000) and In at (0.0000, 0.5000, 0.2500).

The density of states at the Fermi level is 0.5212 states/eV/atom. The crystal system is tetragonal. As for the total energy: -2.1533 eV/atom. As for the polymorph energy (0 for the lowest one): 2.04 kcal/mol of atoms.

[7]
Mg5Tl4In2: relaxed, PBE.

The structure belongs to space group Pbam (No. 55); the cell edges are 8.2947, 20.5044 and 3.3512 Å and the angles 90.00°, 90.00° and 90.00°. The asymmetric unit holds Mg at (0.0000, 0.0000, 0.0000), Mg at (0.1580, 0.4155, 0.0000), Mg at (0.2072, 0.2425, 0.0000), Tl at (0.0383, 0.8567, 0.5000), Tl at (0.1933, 0.5455, 0.5000) and In at (0.0316, 0.6832, 0.5000).

The density of states at the Fermi level is 0.2358 states/eV/atom. The crystal system is orthorhombic. As for the total energy: -2.0962 eV/atom.

[8]
MgTlIn: relaxed, PBE.

The structure belongs to space group P2_1 (No. 4); the cell edges are 5.4681, 3.4280 and 8.5702 Å and the angles 90.00°, 90.37° and 90.00°. The asymmetric unit holds Mg at (0.2499, 0.0000, 0.0569), Tl at (0.2500, 0.5011, 0.3837) and In at (0.2498, 0.5014, 0.7555).

The density of states at the Fermi level is 0.4304 states/eV/atom. The crystal system is monoclinic. As for the total energy: -2.2154 eV/atom.

Which calculated volume belongs to each record? In order, 23.2 25.4 28.3 26.6 27.2 27.0 25.9 26.8 Å³/atom.
Which energy relative to the elements belongs to each record? In order, -53 -18 124 14 7 53 -13 18 meV/atom.
Which spin magnetization belongs to each record? In order, 0.0 0.0 0.0 0.0 0.0 0.0 0.0 0.0 μB/f.u..